Below is an optimized crystal structure of Mg2VGaO6, with properties calculated at the GGA+U level.

Cell and atoms, written as POSCAR:
```
Mg2VGaO6
1.0
2.554 1.475 4.586
-2.554 1.475 4.586
0.000 -2.949 4.586
Mg V Ga O
2 1 1 6
direct
0.000 0.000 0.000
0.496 0.496 0.496
0.210 0.210 0.210
0.724 0.724 0.724
0.089 0.815 0.409
0.304 0.561 0.937
0.409 0.089 0.815
0.561 0.937 0.304
0.815 0.409 0.089
0.937 0.304 0.561
```

Output
For the total energy, the calculation gives -0.479 Ry/atom.